# 1
Below is a relaxed MnGaIr2Pt crystal, with properties calculated at the GGA-PBEsol level.

Geometry as extended XYZ:
```
5
Lattice="-3.416 -2.235 1.570 0.159 -2.709 -3.509 2.765 -2.684 2.197" Properties=species:S:1:pos:R:3 pbc="T T T"
Mn -1.708 -1.117 0.785
Ir 1.383 -1.342 1.099
Ir 0.080 -1.354 -1.754
Ga 0.000 0.000 0.000
Pt -0.246 -3.813 0.129
```

Properties
Calculated density   13.6 g/cm³
Electronic total energy   -6.67 eV per atom
SG   P4/mmm, No. 123
Calculated formation energy   1.273 eV per atom
Density of states at the Fermi level   0.877 states/eV per atom

---

# 2
Below is a relaxed GaMoIr3 crystal, with properties calculated at the GGA-PBEsol level.

Geometry as extended XYZ:
```
5
Lattice="-1.871 1.092 4.136 3.560 -2.107 2.166 2.373 4.021 0.012" Properties=species:S:1:pos:R:3 pbc="T T T"
Mo 0.000 0.000 0.000
Ir 1.780 -1.053 1.083
Ir 1.186 2.011 0.006
Ir -0.935 0.546 2.068
Ga 2.031 1.503 3.157
```

Properties
Calculated density   12.1 g/cm³
Electronic total energy   -7.22 eV per atom
SG   Pm-3m, No. 221
Calculated formation energy   1.693 eV per atom
Density of states at the Fermi level   0.993 states/eV per atom

---

| no. | M_tot (μB/atom) |
| --- | --- |
| 1 | 0.94 |
| 2 | 0.00 |